(1)
A plane-wave DFT calculation with GGA-PBE was carried out for a relaxed La2TlHg2 crystal.

## Properties
Crystal system ... tetragonal
Calculated total energy ... -13.55 eV/cell
Offset from the most stable computed form ... 1.48 eV/f.u.
Formation energy ... -0.15 eV per atom

a b c (Å): 6.2720 6.2720 6.2720
angles (deg): 122.16 122.16 86.29
Closest atoms and distances in Å follow each position.
Positions (direct):
La: 0.2500 0.7500 0.5000  4 Hg 3.17
La: 0.7500 0.2500 0.5000  4 Hg 3.17
Tl: 0.0000 0.0000 0.0000  2 Hg 3.22
Hg: 0.3521 0.3521 0.0000  1 Hg 2.71
Hg: 0.6479 0.6479 0.0000  1 Hg 2.71

***

(2)
A plane-wave DFT calculation with GGA-PBE was carried out for a relaxed LaTlHg crystal.

## Properties
Crystal system ... cubic
Calculated total energy ... -7.96 eV/cell
Formation energy ... -0.12 eV per atom

a b c (Å): 5.2658 5.2658 5.2658
angles (deg): 60.00 60.00 60.00
Closest atoms and distances in Å follow each position.
Positions (direct):
La: 0.0000 0.0000 0.0000  4 Hg 3.22, 4 Tl 3.22
Tl: 0.2500 0.2500 0.2500  4 La 3.22
Hg: 0.7500 0.7500 0.7500  4 La 3.22

***

(3)
A plane-wave DFT calculation with GGA-PBE was carried out for a relaxed LaTl2Hg2 crystal.

## Properties
Crystal system ... tetragonal
Calculated total energy ... -11.08 eV/cell
Offset from the most stable computed form ... 0.33 eV/f.u.
Formation energy ... -0.16 eV per atom

a b c (Å): 7.2237 7.2237 7.2237
angles (deg): 141.56 141.56 55.50
Closest atoms and distances in Å follow each position.
Positions (direct):
La: 0.0000 0.0000 0.0000  8 Hg 3.63, 8 Tl 3.98
Tl: 0.2500 0.7500 0.5000  4 Hg 3.00
Tl: 0.7500 0.2500 0.5000  4 Hg 3.00
Hg: 0.3932 0.3932 0.0000  1 Hg 2.73, 4 Tl 3.00
Hg: 0.6068 0.6068 0.0000  1 Hg 2.73, 4 Tl 3.00

***

(4)
A plane-wave DFT calculation with GGA-PBE was carried out for a relaxed La3Tl2Hg4 crystal.

## Properties
Crystal system ... monoclinic
Calculated total energy ... -24.73 eV/cell
Formation energy ... -0.45 eV per atom

a b c (Å): 6.3146 6.3146 9.6712
angles (deg): 114.24 114.24 47.46
Closest atoms and distances in Å follow each position.
Positions (direct):
La: 0.0000 0.0000 0.0000  8 Hg 3.35-3.73, 4 Tl 3.48, 2 La 3.75
La: 0.3347 0.3347 0.3303  6 Hg 3.28-3.64, 4 Tl 3.47-3.58
La: 0.6653 0.6653 0.6697  6 Hg 3.28-3.64, 4 Tl 3.47-3.58
Tl: 0.3896 0.3896 0.7257  3 Hg 2.99-3.01
Tl: 0.6104 0.6104 0.2743  3 Hg 2.99-3.01
Hg: 0.0831 0.0831 0.4203  1 Hg 2.95, 2 Tl 2.99
Hg: 0.3030 0.3030 0.9762  2 Hg 2.95, 1 Tl 3.01, 1 La 3.28
Hg: 0.6970 0.6970 0.0238  2 Hg 2.95, 1 Tl 3.01, 1 La 3.28
Hg: 0.9169 0.9169 0.5797  1 Hg 2.95, 2 Tl 2.99

***

no.,M_tot (μB/atom)
1,0.0000
2,0.0000
3,0.0000
4,0.0000